Record 1
This record from Alexandria describes Sm8Al2Pb after structural relaxation. The functional is GGA-PBE.

a b c (Å): 4.985 8.092 8.977
angles (deg): 110.03 106.12 90.00
Sites, in units of the cell vectors:
Sm 0.396 0.542 0.791
Sm 0.678 0.939 0.356
Sm 0.839 0.765 0.679
Sm 0.951 0.268 0.901
Sm 0.161 0.235 0.321
Sm 0.322 0.061 0.644
Sm 0.604 0.458 0.209
Sm 0.049 0.732 0.099
Al 0.783 0.339 0.565
Al 0.217 0.661 0.435
Pb 0.500 0.000 0.000

The formation energy is -235.3 kJ/mol of formula units. As for the raw total energy: -51.39 eV per cell.



Record 2
This record from Alexandria describes Al4SnPb after structural relaxation. The functional is GGA-PBE.

a b c (Å): 5.658 5.658 5.658
angles (deg): 60.00 60.00 60.00
Sites, in units of the cell vectors:
Pb 0.250 0.250 0.250
Sn 0.000 0.000 0.000
Al 0.625 0.625 0.125
Al 0.625 0.125 0.625
Al 0.625 0.625 0.625
Al 0.125 0.625 0.625

The formation energy is 99.0 kJ/mol of formula units. As for the raw total energy: -21.66 eV per cell.



Record 3
This record from Alexandria describes AlSnPb3 after structural relaxation. The functional is GGA-PBE.

a b c (Å): 5.454 5.454 5.454
angles (deg): 90.00 90.00 90.00
Sites, in units of the cell vectors:
Pb 0.000 0.500 0.000
Pb 0.000 0.000 0.500
Pb 0.500 0.000 0.000
Sn 0.500 0.500 0.500
Al 0.000 0.000 0.000

The energy above the lowest structure with this stoichiometry is 0 meV/atom. The formation energy is 195.8 kJ/mol of formula units. As for the raw total energy: -16.84 eV per cell.



Record 4
This record from Alexandria describes AlSnPb3 after structural relaxation. The functional is GGA-PBE.

a b c (Å): 5.830 5.830 5.830
angles (deg): 90.00 90.00 90.00
Sites, in units of the cell vectors:
Pb 0.000 0.500 0.000
Pb 0.000 0.000 0.500
Pb 0.500 0.000 0.000
Sn 0.000 0.000 0.000
Al 0.500 0.500 0.500

The energy above the lowest structure with this stoichiometry is 344 meV/atom. The formation energy is 361.7 kJ/mol of formula units. As for the raw total energy: -15.12 eV per cell.